Here is an optimized crystal structure of Y2Pu2Ir3 from Alexandria. Energies are from PBE-GGA.

a b c (Å): 4.2522 5.7992 7.2183
angles (deg): 85.42 72.87 68.49
Element x y z (fractional)
Y: 0.2950 0.7921 0.6180
Y: 0.7050 0.2079 0.3820
Pu: 0.3833 0.3104 0.9231
Pu: 0.6167 0.6896 0.0769
Ir: 0.0000 0.0000 0.0000
Ir: 0.0050 0.6464 0.3435
Ir: 0.9950 0.3536 0.6565

Computed properties:
Calculated formation energy: -14.3 kcal/mol of atoms
Excess energy over the best structure of this formula in the dataset: 0.000 eV per atom

---

Here is an optimized crystal structure of Sc2AgSn2 from Alexandria. Energies are from PBE-GGA.

a b c (Å): 8.4048 8.4048 3.3681
angles (deg): 90.00 90.00 90.00
Element x y z (fractional)
Sc: 0.3718 0.8718 0.0000
Sc: 0.8718 0.6282 0.0000
Sc: 0.6282 0.1282 0.0000
Sc: 0.1282 0.3718 0.0000
Sn: 0.1756 0.6756 0.5000
Sn: 0.6756 0.8244 0.5000
Sn: 0.8244 0.3244 0.5000
Sn: 0.3244 0.1756 0.5000
Ag: 0.0000 0.0000 0.0000
Ag: 0.5000 0.5000 0.0000

Computed properties:
Calculated formation energy: -5.4 kcal/mol of atoms
Excess energy over the best structure of this formula in the dataset: 0.206 eV per atom

---

Here is an optimized crystal structure of ScZn2Cu from Alexandria. Energies are from PBE-GGA.

a b c (Å): 3.9730 3.9739 4.1235
angles (deg): 90.00 90.00 90.00
Element x y z (fractional)
Cu: 0.5000 0.0000 0.5000
Sc: 0.0000 0.5000 0.5000
Zn: 0.0000 0.0000 0.0000
Zn: 0.5000 0.5000 0.0000

Computed properties:
Calculated formation energy: -4.3 kcal/mol of atoms

---

Here is an optimized crystal structure of Zn8Ag2Ir from Alexandria. Energies are from PBE-GGA.

a b c (Å): 4.2452 6.8986 7.0928
angles (deg): 119.05 107.41 90.00
Element x y z (fractional)
Zn: 0.3612 0.5675 0.7223
Zn: 0.6400 0.8471 0.2800
Zn: 0.8529 0.8525 0.7059
Zn: 0.9996 0.2912 0.9992
Zn: 0.1471 0.1475 0.2941
Zn: 0.3600 0.1529 0.7200
Zn: 0.6388 0.4325 0.2777
Zn: 0.0004 0.7088 0.0008
Ag: 0.7950 0.2959 0.5900
Ag: 0.2050 0.7041 0.4100
Ir: 0.5000 0.0000 0.0000

Computed properties:
Calculated formation energy: -1.6 kcal/mol of atoms

---

Here is an optimized crystal structure of Y2ErScTe4 from Alexandria. Energies are from PBE-GGA.

a b c (Å): 4.2716 7.5049 7.4628
angles (deg): 70.98 90.00 90.00
Element x y z (fractional)
Y: 0.0000 0.0000 0.0000
Y: 0.5000 0.0000 0.5000
Er: 0.0000 0.5000 0.5000
Sc: 0.5000 0.5000 0.0000
Te: 0.0000 0.7385 0.7589
Te: 0.0000 0.2615 0.2411
Te: 0.5000 0.7423 0.2475
Te: 0.5000 0.2577 0.7525

Computed properties:
Formation energy without anion corrections: -9.82 eV/f.u.

---

Here is an optimized crystal structure of PmIn2AgBr6 from Alexandria. Energies are from PBE-GGA.

a b c (Å): 7.6327 8.1283 10.9589
angles (deg): 90.00 88.56 90.00
Element x y z (fractional)
Pm: 0.5000 0.0000 0.5000
Pm: 0.0000 0.5000 0.0000
In: 0.0281 0.9140 0.2608
In: 0.5281 0.5860 0.7608
In: 0.9719 0.0860 0.7392
In: 0.4719 0.4140 0.2392
Ag: 0.5000 0.0000 0.0000
Ag: 0.0000 0.5000 0.5000
Br: 0.3100 0.6900 0.0497
Br: 0.8100 0.8100 0.5497
Br: 0.6900 0.3100 0.9503
Br: 0.1900 0.1900 0.4503
Br: 0.3134 0.7013 0.4443
Br: 0.8134 0.7987 0.9443
Br: 0.6866 0.2987 0.5557
Br: 0.1866 0.2013 0.0557
Br: 0.8859 0.5275 0.2525
Br: 0.3859 0.9725 0.7525
Br: 0.1141 0.4725 0.7475
Br: 0.6141 0.0275 0.2475

Computed properties:
Formation energy without anion corrections: -10.72 eV/f.u.

---

Here is an optimized crystal structure of MnAlP2 from Alexandria. Energies are from PBE-GGA.

a b c (Å): 2.9261 2.9261 6.0716
angles (deg): 90.00 90.00 90.00
Element x y z (fractional)
P: 0.0000 0.0000 0.9585
P: 0.5000 0.5000 0.2312
Mn: 0.5000 0.5000 0.7946
Al: 0.0000 0.0000 0.5157

Computed properties:
Calculated formation energy: -0.3 kcal/mol of atoms

---

Here is an optimized crystal structure of CeHo2ScSe4 from Alexandria. Energies are from PBE-GGA.

a b c (Å): 4.0259 7.0570 7.0194
angles (deg): 109.06 90.00 90.00
Element x y z (fractional)
Ce: 0.5000 0.5000 0.0000
Ho: 0.5000 0.0000 0.5000
Ho: 0.0000 0.5000 0.5000
Sc: 0.0000 0.0000 0.0000
Se: 0.5000 0.2378 0.2454
Se: 0.5000 0.7622 0.7546
Se: 0.0000 0.2375 0.7459
Se: 0.0000 0.7625 0.2541

Computed properties:
Formation energy without anion corrections: -13.59 eV/f.u.

---

no.,calculated volume (A^3/atom),M_tot (μB per formula unit)
1,22.6,10.374
2,23.8,0.194
3,16.3,0.000
4,15.5,0.000
5,28.3,0.004
6,34.0,0.000
7,13.0,0.000
8,23.6,0.974